# PBE LiPmTl2, relaxed
data_LiPmTl2
_space_group_name_H-M_alt 'P 4/m m m'
_space_group_IT_number 123
_space_group_name_Hall '-P 4 2'
_cell_length_a 3.6379
_cell_length_b 3.6379
_cell_length_c 7.5296
_cell_angle_alpha 90.00
_cell_angle_beta 90.00
_cell_angle_gamma 90.00
loop_
_atom_site_label
_atom_site_fract_x
_atom_site_fract_y
_atom_site_fract_z
Li1 0.0000 0.0000 0.0000
Pm1 0.0000 0.0000 0.5000
Tl1 0.5000 0.5000 0.2121
# Total moment in μB per atom: 0.0000
# Formation enthalpy at 0 K in eV per atom: -0.312

=====

# PBE LiPm4Tl2, relaxed
data_LiPm4Tl2
_space_group_name_H-M_alt 'R -3 m'
_space_group_IT_number 166
_space_group_name_Hall '-R 3 2"'
_cell_length_a 5.4031
_cell_length_b 5.4031
_cell_length_c 25.2774
_cell_angle_alpha 90.00
_cell_angle_beta 90.00
_cell_angle_gamma 120.00
loop_
_atom_site_label
_atom_site_fract_x
_atom_site_fract_y
_atom_site_fract_z
Li1 0.0000 0.0000 0.0000
Pm1 0.0000 0.0000 0.1339
Pm2 0.0000 0.0000 0.3907
Tl1 0.0000 0.0000 0.2625
# Total moment in μB per atom: 0.1197
# Formation enthalpy at 0 K in eV per atom: -0.161

=====

# PBE Li2PmTl, relaxed
data_Li2PmTl
_space_group_name_H-M_alt 'F -4 3 m'
_space_group_IT_number 216
_space_group_name_Hall 'F -4 2 3'
_cell_length_a 7.2276
_cell_length_b 7.2276
_cell_length_c 7.2276
_cell_angle_alpha 90.00
_cell_angle_beta 90.00
_cell_angle_gamma 90.00
loop_
_atom_site_label
_atom_site_fract_x
_atom_site_fract_y
_atom_site_fract_z
Li1 0.0000 0.0000 0.0000
Li2 0.2500 0.2500 0.2500
Pm1 0.2500 0.2500 0.7500
Tl1 0.0000 0.0000 0.5000
# Total moment in μB per atom: 0.0000
# Formation enthalpy at 0 K in eV per atom: -0.224

=====

# PBE Li3Pm4Tl4, relaxed
data_Li3Pm4Tl4
_space_group_name_H-M_alt 'I m m m'
_space_group_IT_number 71
_space_group_name_Hall '-I 2 2'
_cell_length_a 3.4310
_cell_length_b 9.6932
_cell_length_c 18.4616
_cell_angle_alpha 90.00
_cell_angle_beta 90.00
_cell_angle_gamma 90.00
loop_
_atom_site_label
_atom_site_fract_x
_atom_site_fract_y
_atom_site_fract_z
Li1 0.0000 0.0000 0.0000
Li2 0.0000 0.5000 0.0899
Pm1 0.0000 0.3199 0.3353
Tl1 0.0000 0.0000 0.2826
Tl2 0.0000 0.2014 0.5000
# Total moment in μB per atom: 0.0000
# Formation enthalpy at 0 K in eV per atom: -0.114

=====

# PBE Li4PmTl2, relaxed
data_Li4PmTl2
_space_group_name_H-M_alt 'R -3 m'
_space_group_IT_number 166
_space_group_name_Hall '-R 3 2"'
_cell_length_a 4.9364
_cell_length_b 4.9364
_cell_length_c 22.4107
_cell_angle_alpha 90.00
_cell_angle_beta 90.00
_cell_angle_gamma 120.00
loop_
_atom_site_label
_atom_site_fract_x
_atom_site_fract_y
_atom_site_fract_z
Li1 0.0000 0.0000 0.0760
Li2 0.0000 0.0000 0.3570
Pm1 0.0000 0.0000 0.5000
Tl1 0.0000 0.0000 0.2342
# Total moment in μB per atom: 0.0000
# Formation enthalpy at 0 K in eV per atom: -0.235

=====

# PBE Li2Pm3Tl6, relaxed
data_Li2Pm3Tl6
_space_group_name_H-M_alt 'I 4/m m m'
_space_group_IT_number 139
_space_group_name_Hall '-I 4 2'
_cell_length_a 4.7290
_cell_length_b 4.7290
_cell_length_c 26.0380
_cell_angle_alpha 90.00
_cell_angle_beta 90.00
_cell_angle_gamma 90.00
loop_
_atom_site_label
_atom_site_fract_x
_atom_site_fract_y
_atom_site_fract_z
Li1 0.0000 0.0000 0.0469
Pm1 0.0000 0.0000 0.3087
Pm2 0.0000 0.0000 0.5000
Tl1 0.0000 0.0000 0.1872
Tl2 0.0000 0.5000 0.0965
# Total moment in μB per atom: 0.0000
# Formation enthalpy at 0 K in eV per atom: -0.242